Computed, not measured: a geometry-optimized La2PrDy5Ho structure at the PBE level of DFT.

Structure (CIF):
```
data_La2PrDy5Ho
_chemical_formula_sum 'La8 Pr4 Dy20 Ho4'
_symmetry_space_group_name_H-M 'I 4/m c m'
_symmetry_Int_Tables_number 140
_symmetry_space_group_name_Hall '-I 4 2c'
_cell_length_a 8.720
_cell_length_b 8.720
_cell_length_c 15.807
_cell_angle_alpha 90.00
_cell_angle_beta 90.00
_cell_angle_gamma 90.00
loop_
_atom_site_label
_atom_site_type_symbol
_atom_site_fract_x
_atom_site_fract_y
_atom_site_fract_z
La1 La 0.117 0.383 0.000
Pr1 Pr 0.000 0.000 0.250
Dy1 Dy 0.000 0.000 0.000
Dy2 Dy 0.215 0.285 0.359
Ho1 Ho 0.000 0.500 0.250
```

Calculated values
magnetic moment: 0.0 μB per cell
DOS at the Fermi energy: 12.2 states/eV/f.u.
E: -159.74 eV/cell
energy relative to the elements: 254 meV per atom

=====

Computed, not measured: a geometry-optimized La3PrDy2Ho6 structure at the PBE level of DFT.

Structure (CIF):
```
data_La3PrDy2Ho6
_chemical_formula_sum 'La6 Pr2 Dy4 Ho12'
_symmetry_space_group_name_H-M 'C 1 2/m 1'
_symmetry_Int_Tables_number 12
_cell_length_a 6.244
_cell_length_b 10.815
_cell_length_c 11.850
_cell_angle_alpha 90.00
_cell_angle_beta 100.10
_cell_angle_gamma 90.00
loop_
_symmetry_equiv_pos_as_xyz
'x,y,z'
'-x,-y,-z'
'-x,y,-z'
'x,-y,z'
'x+1/2,y+1/2,z'
'-x+1/2,-y+1/2,-z'
'-x+1/2,y+1/2,-z'
'x+1/2,-y+1/2,z'
loop_
_atom_site_label
_atom_site_type_symbol
_atom_site_fract_x
_atom_site_fract_y
_atom_site_fract_z
La1 La 0.000 0.000 0.000
La2 La 0.000 0.333 0.000
Pr1 Pr 0.000 0.500 0.500
Dy1 Dy 0.000 0.167 0.500
Ho1 Ho 0.248 0.000 0.746
Ho2 Ho 0.249 0.333 0.746
```

Calculated values
magnetic moment: 0.0 μB per cell
DOS at the Fermi energy: 15.3 states/eV/f.u.
E: -112.00 eV/cell
energy relative to the elements: 19 meV per atom

=====

Computed, not measured: a geometry-optimized LaPrDyHo3 structure at the PBE level of DFT.

Structure (CIF):
```
data_LaPrDyHo3
_chemical_formula_sum 'La4 Pr4 Dy4 Ho12'
_symmetry_space_group_name_H-M 'C 1 2/m 1'
_symmetry_Int_Tables_number 12
_cell_length_a 19.942
_cell_length_b 5.655
_cell_length_c 7.092
_cell_angle_alpha 90.00
_cell_angle_beta 90.26
_cell_angle_gamma 90.00
loop_
_symmetry_equiv_pos_as_xyz
'x,y,z'
'-x,-y,-z'
'-x,y,-z'
'x,-y,z'
'x+1/2,y+1/2,z'
'-x+1/2,-y+1/2,-z'
'-x+1/2,y+1/2,-z'
'x+1/2,-y+1/2,z'
loop_
_atom_site_label
_atom_site_type_symbol
_atom_site_fract_x
_atom_site_fract_y
_atom_site_fract_z
La1 La 0.146 0.000 0.035
Pr1 Pr 0.053 0.500 0.265
Dy1 Dy 0.151 0.000 0.462
Ho1 Ho 0.024 0.000 0.739
Ho2 Ho 0.166 0.500 0.733
Ho3 Ho 0.221 0.500 0.244
```

Calculated values
magnetic moment: 0.0 μB per cell
DOS at the Fermi energy: 9.7 states/eV/f.u.
E: -107.69 eV/cell
energy relative to the elements: 187 meV per atom